Record 1
Entry from Alexandria: a relaxed structure of Er4As2N (PBE).

Its mass density is 9.12 Mg/m³. Its crystal system is tetragonal. For the total energy, the calculation gives -6.28 eV per atom. The total moment comes out at 0.000 μB/atom. The formation energy (no corrections) comes out at -1.15 eV per atom.

The structure belongs to space group I4/mmm (No. 139); the cell edges are 4.481, 4.481 and 15.100 Å and the angles 90.00°, 90.00° and 90.00°. Symmetry generates all atoms from Er at (0.000, 0.000, 0.170), Er at (0.000, 0.500, 0.000), As at (0.000, 0.000, 0.361) and N at (0.000, 0.000, 0.000).


Record 2
Entry from Alexandria: a relaxed structure of Er5As4N (PBE).

Its mass density is 8.56 Mg/m³. Its crystal system is tetragonal. For the total energy, the calculation gives -6.41 eV per atom. The total moment comes out at 0.000 μB/atom. The formation energy (no corrections) comes out at -1.44 eV per atom.

The structure belongs to space group I4 (No. 79); the cell edges are 8.816, 8.816 and 5.744 Å and the angles 90.00°, 90.00° and 90.00°. Symmetry generates all atoms from Er at (0.000, 0.000, 0.000), Er at (0.093, 0.726, 0.559), As at (0.093, 0.698, 0.062) and N at (0.000, 0.000, 0.608).


Record 3
Entry from Alexandria: a relaxed structure of ErAsN (PBE).

Its mass density is 7.36 Mg/m³. Its crystal system is trigonal. For the total energy, the calculation gives -6.79 eV per atom. The total moment comes out at 0.000 μB/atom. The formation energy (no corrections) comes out at -0.95 eV per atom.

The structure belongs to space group R-3m (No. 166, hexagonal axes); the cell edges are 3.8763, 3.8763 and 26.6629 Å and the angles 90.00°, 90.00° and 120.00°. Symmetry generates all atoms from Er at (0.0000, 0.0000, 0.2127), As at (0.0000, 0.0000, 0.3577) and N at (0.0000, 0.0000, 0.1277).


Record 4
Entry from Alexandria: a relaxed structure of ErPa2AsN5 (PBE).

Its mass density is 9.15 Mg/m³. Its crystal system is orthorhombic. For the total energy, the calculation gives -8.83 eV per atom. The total moment comes out at 0.000 μB/atom. The formation energy (no corrections) comes out at -1.07 eV per atom.

The structure belongs to space group Cmc2_1 (No. 36); the cell edges are 3.331, 16.414 and 10.279 Å and the angles 90.00°, 90.00° and 90.00°. Symmetry generates all atoms from Er at (0.000, 0.173, 0.000), Pa at (0.000, 0.152, 0.340), Pa at (0.000, 0.175, 0.671), As at (0.000, 0.498, 0.990), N at (0.000, 0.051, 0.560), N at (0.000, 0.306, 0.329), N at (0.000, 0.307, 0.010), N at (0.000, 0.309, 0.668) and N at (0.000, 0.442, 0.836).


Record 5
Entry from Alexandria: a relaxed structure of Er2Sc4As3N2 (PBE).

Its mass density is 6.16 Mg/m³. Its crystal system is tetragonal. For the total energy, the calculation gives -7.33 eV per atom. The total moment comes out at 0.000 μB/atom. The formation energy (no corrections) comes out at -1.42 eV per atom.

The structure belongs to space group I4/mmm (No. 139); the cell edges are 4.252, 4.252 and 22.870 Å and the angles 90.00°, 90.00° and 90.00°. Symmetry generates all atoms from Er at (0.000, 0.000, 0.195), Sc at (0.000, 0.500, 0.079), As at (0.000, 0.000, 0.324), As at (0.000, 0.000, 0.500) and N at (0.000, 0.000, 0.095).


Record 6
Entry from Alexandria: a relaxed structure of Er4AsSe2N (PBE).

Its mass density is 8.95 Mg/m³. Its crystal system is monoclinic. For the total energy, the calculation gives -6.39 eV per atom. The total moment comes out at 0.000 μB/atom. The formation energy (no corrections) comes out at -1.61 eV per atom.

The structure belongs to space group P2/m (No. 10); the cell edges are 6.748, 3.857 and 6.900 Å and the angles 90.00°, 108.82° and 90.00°. Symmetry generates all atoms from Er at (0.214, 0.000, 0.209), Er at (0.228, 0.500, 0.783), As at (0.500, 0.000, 0.000), Se at (0.000, 0.000, 0.500), Se at (0.500, 0.500, 0.500) and N at (0.000, 0.500, 0.000).